The following is a PBE calculation of crystalline Pu2TaTi at its relaxed geometry, from Alexandria via LeMat-Bulk.

Summary:
- E above lowest polymorph (meV/atom) = 50
- calculated volume (Å³ per atom) = 21.01
- formation energy (kcal/mol of atoms) = 8.92

abc: 5.1956 5.1956 3.1137
angles: 90.00 90.00 90.00
Closest atoms and distances in Å follow each position.
Space group P4/mmm (No. 123)
Symmetry-distinct sites (fractional):
Pu 0.0000 0.5000 0.0000 [2 per cell]  4 Ta 3.03, 4 Ti 3.03, 2 Pu 3.11
Ta 0.0000 0.0000 0.5000 [1 per cell]  8 Pu 3.03, 2 Ta 3.11
Ti 0.5000 0.5000 0.5000 [1 per cell]  8 Pu 3.03, 2 Ti 3.11